Entry from the Alexandria database: a geometry-optimized CrB3F structure (PBE with a Hubbard U).

Total magnetization, μB per atom: 0.65
DOS(E_F), states/eV per cell: 3.29
Volume, A^3/atom: 13.39
Polymorph energy (0 for the lowest one), meV/atom: 0.0

```
5
Lattice="4.061 0.000 0.000 0.000 4.061 0.000 0.000 0.000 4.061" Properties=species:S:1:pos:R:3 pbc="T T T"
B 0.000 2.030 0.000
F 2.030 2.030 2.030
Cr 0.000 0.000 0.000
B 0.000 0.000 2.030
B 2.030 0.000 0.000
```